Model a:
DFT (PBE) results for crystalline MgF at its relaxed geometry.

Geometry as CIF:
```
data_MgF
_space_group_name_H-M_alt 'P -1'
_space_group_IT_number 2
_cell_length_a 3.526
_cell_length_b 3.535
_cell_length_c 4.805
_cell_angle_alpha 90.10
_cell_angle_beta 90.24
_cell_angle_gamma 90.00
loop_
_space_group_symop_operation_xyz
'x,y,z'
'-x,-y,-z'
loop_
_atom_site_label
_atom_site_type_symbol
_atom_site_fract_x
_atom_site_fract_y
_atom_site_fract_z
_atom_site_occupancy
Mg1 Mg 0.249 0.249 0.255 1
F1 F 0.250 0.750 0.500 1
```

## Properties
Fermi-level density of states = 0.7 states/eV per cell
V = 14.975 Å³ per atom



Model b:
DFT (PBE) results for crystalline MgF at its relaxed geometry.

Geometry as CIF:
```
data_MgF
_space_group_name_H-M_alt 'P 63 m c'
_space_group_IT_number 186
_space_group_name_Hall 'P 6c -2c'
_cell_length_a 3.4525
_cell_length_b 3.4525
_cell_length_c 6.3413
_cell_angle_alpha 90.00
_cell_angle_beta 90.00
_cell_angle_gamma 120.00
loop_
_atom_site_label
_atom_site_type_symbol
_atom_site_fract_x
_atom_site_fract_y
_atom_site_fract_z
_atom_site_occupancy
Mg1 Mg 0.3333 0.6667 0.0000 1
F1 F 0.3333 0.6667 0.6235 1
```

## Properties
Fermi-level density of states = 1.1 states/eV per cell
V = 16.365 Å³ per atom



Which structure is most stable? model a, by 341 meV/atom over the runner-up.



Model a:
DFT (PBE) results for crystalline GaP2BrCl at its relaxed geometry.

Geometry as CIF:
```
data_GaP2BrCl
_space_group_name_H-M_alt 'P 4/m m m'
_space_group_IT_number 123
_space_group_name_Hall '-P 4 2'
_cell_length_a 4.736
_cell_length_b 4.736
_cell_length_c 7.002
_cell_angle_alpha 90.00
_cell_angle_beta 90.00
_cell_angle_gamma 90.00
loop_
_atom_site_label
_atom_site_type_symbol
_atom_site_fract_x
_atom_site_fract_y
_atom_site_fract_z
_atom_site_occupancy
Ga1 Ga 0.000 0.000 0.000 1
P1 P 0.000 0.500 0.500 1
Br1 Br 0.500 0.500 0.500 1
Cl1 Cl 0.500 0.500 0.000 1
```

## Properties
Fermi-level density of states = 3.3 states/eV per cell
V = 31.415 Å³ per atom



Model b:
DFT (PBE) results for crystalline GaP2BrCl at its relaxed geometry.

Geometry as CIF:
```
data_GaP2BrCl
_space_group_name_H-M_alt 'P 4/m m m'
_space_group_IT_number 123
_space_group_name_Hall '-P 4 2'
_cell_length_a 4.900
_cell_length_b 4.900
_cell_length_c 4.782
_cell_angle_alpha 90.00
_cell_angle_beta 90.00
_cell_angle_gamma 90.00
loop_
_atom_site_label
_atom_site_type_symbol
_atom_site_fract_x
_atom_site_fract_y
_atom_site_fract_z
_atom_site_occupancy
Ga1 Ga 0.000 0.000 0.000 1
P1 P 0.000 0.500 0.000 1
Br1 Br 0.500 0.500 0.500 1
Cl1 Cl 0.000 0.000 0.500 1
```

## Properties
Fermi-level density of states = 2.4 states/eV per cell
V = 22.966 Å³ per atom



Which structure is most stable? model b, by 350 meV/atom over the runner-up.